(1)
Density functional theory data (PBE-GGA) for a relaxed RbZr3Zn crystal.

Results
Energy of formation from the pure elements = 473.6 kJ/mol of formula units
D(E_F) = 6.24 states/eV per cell
ΔE to the lowest computed polymorph = 0 meV/atom
Space-group type = No. 221

a b c (Å): 5.235 5.235 5.235
angles (deg): 90.00 90.00 90.00
Atoms (fractional coordinates):
Rb (0.000, 0.000, 0.000)
Zr (0.000, 0.500, 0.500)
Zr (0.500, 0.000, 0.500)
Zr (0.500, 0.500, 0.000)
Zn (0.500, 0.500, 0.500)

(2)
Density functional theory data (PBE-GGA) for a relaxed RbZrZn crystal.

Results
Energy of formation from the pure elements = 112.2 kJ/mol of formula units
D(E_F) = 5.66 states/eV per cell
ΔE to the lowest computed polymorph = 256 meV/atom
Space-group type = No. 63

a b c (Å): 7.672 7.672 5.703
angles (deg): 90.00 90.00 144.07
Atoms (fractional coordinates):
Rb (0.210, 0.790, 0.750)
Rb (0.790, 0.210, 0.250)
Zr (0.500, 0.500, 0.000)
Zr (0.500, 0.500, 0.500)
Zn (0.051, 0.949, 0.250)
Zn (0.949, 0.051, 0.750)